Entry 1:
Here is a geometry-optimized Hf2MnCdAs structure from Alexandria via LeMat-Bulk. Energies are from PBE.

Its density of states at the Fermi level is 0.48 states/eV/atom. As for the crystal system: tetragonal. Its formation enthalpy at 0 K is 0.95 eV/atom. For the excess energy over the best structure of this formula in the dataset, the calculation gives 0.000 eV per atom.

It has space group P4/mmm (No. 123), with a = 4.930 Å, b = 4.930 Å, c = 4.828 Å, α = 90.00°, β = 90.00° and γ = 90.00°. The distinct sites, in fractional coordinates, are Hf at (0.000, 0.500, 0.000), Mn at (0.000, 0.000, 0.500), Cd at (0.500, 0.500, 0.500) and As at (0.500, 0.500, 0.000).

Entry 2:
Here is a geometry-optimized ZnCdCu structure from Alexandria via LeMat-Bulk. Energies are from PBE.

Its density of states at the Fermi level is 0.34 states/eV/atom. As for the crystal system: trigonal. Its formation enthalpy at 0 K is 0.06 eV/atom. For the excess energy over the best structure of this formula in the dataset, the calculation gives 0.039 eV per atom.

It has space group P3m1 (No. 156), with a = 4.4368 Å, b = 4.4368 Å, c = 2.8224 Å, α = 90.00°, β = 90.00° and γ = 120.00°. The distinct sites, in fractional coordinates, are Zn at (0.0000, 0.0000, 0.0000), Cd at (0.3333, 0.6667, 0.5091) and Cu at (0.6667, 0.3333, 0.0199).

Entry 3:
Here is a geometry-optimized AgTeRhI2 structure from Alexandria via LeMat-Bulk. Energies are from PBE.

Its density of states at the Fermi level is 0.85 states/eV/atom. As for the crystal system: tetragonal. The energy relative to the elements, uncorrected comes out at 0.31 eV per atom. For the excess energy over the best structure of this formula in the dataset, the calculation gives 0.000 eV per atom.

It has space group P4/mmm (No. 123), with a = 5.604 Å, b = 5.604 Å, c = 5.046 Å, α = 90.00°, β = 90.00° and γ = 90.00°. The distinct sites, in fractional coordinates, are Ag at (0.000, 0.000, 0.000), Te at (0.500, 0.500, 0.000), Rh at (0.500, 0.500, 0.500) and I at (0.000, 0.500, 0.500).

Entry 4:
Here is a geometry-optimized Y2MgS4 structure from Alexandria via LeMat-Bulk. Energies are from PBE.

As for the crystal system: orthorhombic. The energy relative to the elements, uncorrected comes out at -1.88 eV per atom. For the excess energy over the best structure of this formula in the dataset, the calculation gives 0.014 eV per atom.

It has space group Cmc2_1 (No. 36), with a = 3.797 Å, b = 12.536 Å, c = 12.885 Å, α = 90.00°, β = 90.00° and γ = 90.00°. The distinct sites, in fractional coordinates, are Y at (0.000, 0.119, 0.000), Y at (0.000, 0.361, 0.203), Mg at (0.000, 0.375, 0.839), S at (0.000, 0.014, 0.791), S at (0.000, 0.260, 0.390), S at (0.000, 0.290, 0.650) and S at (0.000, 0.464, 0.018).

Entry 5:
Here is a geometry-optimized Y3SbH3 structure from Alexandria via LeMat-Bulk. Energies are from PBE.

Its density of states at the Fermi level is 0.46 states/eV/atom. As for the crystal system: trigonal. For the excess energy over the best structure of this formula in the dataset, the calculation gives 0.000 eV per atom.

It has space group R-3 (No. 148, hexagonal axes), with a = 6.7184 Å, b = 6.7184 Å, c = 20.4725 Å, α = 90.00°, β = 90.00° and γ = 120.00°. The distinct sites, in fractional coordinates, are Y at (0.0027, 0.6741, 0.4017), Sb at (0.0000, 0.0000, 0.1660) and H at (0.0040, 0.6761, 0.9602).

Entry 6:
Here is a geometry-optimized Tl2HgOs structure from Alexandria via LeMat-Bulk. Energies are from PBE.

Its density of states at the Fermi level is 0.33 states/eV/atom. As for the crystal system: trigonal. Its formation enthalpy at 0 K is 0.70 eV/atom. For the excess energy over the best structure of this formula in the dataset, the calculation gives 0.102 eV per atom.

It has space group R-3m (No. 166, hexagonal axes), with a = 3.0844 Å, b = 3.0844 Å, c = 35.0475 Å, α = 90.00°, β = 90.00° and γ = 120.00°. The distinct sites, in fractional coordinates, are Tl at (0.0000, 0.0000, 0.2350), Hg at (0.0000, 0.0000, 0.0000) and Os at (0.0000, 0.0000, 0.5000).

Entry 7:
Here is a geometry-optimized TmFeSi3Ru structure from Alexandria via LeMat-Bulk. Energies are from PBE.

Its density of states at the Fermi level is 0.43 states/eV/atom. As for the crystal system: orthorhombic. The energy relative to the elements, uncorrected comes out at -0.35 eV per atom.

It has space group Cmcm (No. 63), with a = 7.415 Å, b = 10.650 Å, c = 5.330 Å, α = 90.00°, β = 90.00° and γ = 90.00°. The distinct sites, in fractional coordinates, are Tm at (0.000, 0.238, 0.250), Fe at (0.000, 0.042, 0.750), Si at (0.000, 0.236, 0.750), Si at (0.242, 0.000, 0.000) and Ru at (0.000, 0.442, 0.750).

Entry 8:
Here is a geometry-optimized LaFePb2 structure from Alexandria via LeMat-Bulk. Energies are from PBE.

Its density of states at the Fermi level is 1.13 states/eV/atom. As for the crystal system: tetragonal. Its formation enthalpy at 0 K is 0.10 eV/atom. For the excess energy over the best structure of this formula in the dataset, the calculation gives 0.120 eV per atom.

It has space group P4/mmm (No. 123), with a = 3.569 Å, b = 3.569 Å, c = 7.849 Å, α = 90.00°, β = 90.00° and γ = 90.00°. The distinct sites, in fractional coordinates, are La at (0.000, 0.000, 0.000), Fe at (0.000, 0.000, 0.500) and Pb at (0.500, 0.500, 0.299).

Entry 9:
Here is a geometry-optimized Sc2TlSbAu structure from Alexandria via LeMat-Bulk. Energies are from PBE.

Its density of states at the Fermi level is 0.77 states/eV/atom. As for the crystal system: tetragonal. The energy relative to the elements, uncorrected comes out at 0.36 eV per atom.

It has space group P4/mmm (No. 123), with a = 5.415 Å, b = 5.415 Å, c = 5.068 Å, α = 90.00°, β = 90.00° and γ = 90.00°. The distinct sites, in fractional coordinates, are Sc at (0.000, 0.500, 0.000), Tl at (0.000, 0.000, 0.000), Sb at (0.500, 0.500, 0.500) and Au at (0.000, 0.000, 0.500).

Entry 10:
Here is a geometry-optimized Mg14ZnBi structure from Alexandria via LeMat-Bulk. Energies are from PBE.

Its density of states at the Fermi level is 0.40 states/eV/atom. As for the crystal system: orthorhombic. Its formation enthalpy at 0 K is -0.01 eV/atom. For the excess energy over the best structure of this formula in the dataset, the calculation gives 0.003 eV per atom.

It has space group Amm2 (No. 38), with a = 10.223 Å, b = 6.486 Å, c = 11.051 Å, α = 90.00°, β = 90.00° and γ = 90.00°. The distinct sites, in fractional coordinates, are Mg at (0.000, 0.000, 0.000), Mg at (0.000, 0.000, 0.499), Mg at (0.000, 0.248, 0.248), Mg at (0.247, 0.000, 0.828), Mg at (0.255, 0.242, 0.581), Mg at (0.257, 0.000, 0.332), Mg at (0.500, 0.248, 0.750), Zn at (0.500, 0.000, 0.496) and Bi at (0.500, 0.000, 0.998).

Entry 11:
Here is a geometry-optimized LaPrSmEr2 structure from Alexandria via LeMat-Bulk. Energies are from PBE.

Its density of states at the Fermi level is 1.49 states/eV/atom. As for the crystal system: orthorhombic. Its formation enthalpy at 0 K is 0.33 eV/atom.

It has space group Cmcm (No. 63), with a = 8.511 Å, b = 11.665 Å, c = 7.247 Å, α = 90.00°, β = 90.00° and γ = 90.00°. The distinct sites, in fractional coordinates, are La at (0.000, 0.233, 0.250), Pr at (0.000, 0.223, 0.750), Sm at (0.000, 0.499, 0.750) and Er at (0.188, 0.000, 0.000).

Entry 12:
Here is a geometry-optimized SmGdCoPt structure from Alexandria via LeMat-Bulk. Energies are from PBE.

Its density of states at the Fermi level is 0.76 states/eV/atom. As for the crystal system: cubic. Its formation enthalpy at 0 K is -0.57 eV/atom.

It has space group F-43m (No. 216), with a = 6.967 Å, b = 6.967 Å, c = 6.967 Å, α = 90.00°, β = 90.00° and γ = 90.00°. The distinct sites, in fractional coordinates, are Sm at (0.000, 0.000, 0.000), Gd at (0.000, 0.000, 0.500), Co at (0.250, 0.250, 0.250) and Pt at (0.250, 0.250, 0.750).

no.,total energy (eV per atom)
1,-5.978
2,-2.036
3,-2.975
4,-6.311
5,-5.495
6,-3.366
7,-6.762
8,-5.105
9,-4.127
10,-1.731
11,-4.378
12,-8.560